# BaAc2CrO5 (GGA+U, optimized geometry)
# DOS at the Fermi energy	0.000	states/eV/atom
# V	155	Å³/f.u.
# total DFT energy (no corrections)	-7.48	eV/atom
data_BaAc2CrO5
_symmetry_space_group_name_H-M 'P 4/m b m'
_symmetry_Int_Tables_number 127
_symmetry_space_group_name_Hall '-P 4 2ab'
_cell_length_a 7.1226
_cell_length_b 7.1226
_cell_length_c 6.1072
_cell_angle_alpha 90.00
_cell_angle_beta 90.00
_cell_angle_gamma 90.00
loop_
_atom_site_label
_atom_site_type_symbol
_atom_site_fract_x
_atom_site_fract_y
_atom_site_fract_z
_atom_site_occupancy
Ba1 Ba 0.0000 0.0000 0.0000 1
Ac1 Ac 0.1756 0.3244 0.5000 1
Cr1 Cr 0.0000 0.5000 0.0000 1
O1 O 0.0000 0.0000 0.5000 1
O2 O 0.1402 0.6402 0.2373 1